# 1
First-principles (GGA-PBE) data for an optimized crystal structure of FeOsRu, as listed in Alexandria.

Unit cell a=4.1670 b=4.1670 c=2.6522 alpha=90.00 beta=90.00 gamma=120.00
Last column: nearest neighbours and their distance in Å.
Space group P-6m2 (No. 187)
Asymmetric unit:
1 Fe 0.0000 0.0000 0.0000 x1  3 Ru 2.41, 2 Fe 2.65
2 Os 0.6667 0.3333 0.5000 x1  2 Os 2.65, 6 Fe 2.75, 6 Ru 2.75
3 Ru 0.3333 0.6667 0.0000 x1  3 Fe 2.41, 2 Ru 2.65

Output
DFT formation energy, kcal/mol of atoms: 4.02
N(E_F), states/eV/f.u.: 2.85

---

# 2
First-principles (GGA-PBE) data for an optimized crystal structure of Sn4PSe6, as listed in Alexandria.

Unit cell a=17.0871 b=6.7870 c=12.9536 alpha=90.00 beta=121.10 gamma=90.00
Last column: nearest neighbours and their distance in Å.
Space group Cc (No. 9)
Asymmetric unit:
1 Sn 0.0000 0.0550 0.0000 x4  3 Se 2.72-2.80
2 Sn 0.0598 0.4118 0.3369 x4  3 Se 2.79-2.94
3 Sn 0.1970 0.1552 0.7891 x4  5 Se 2.70-3.01
4 Sn 0.3303 0.3053 0.1799 x4  4 Se 2.80-3.02
5 P 0.2560 0.1742 0.5599 x4  3 Se 2.29-2.33
6 Se 0.0334 0.1729 0.8188 x4  4 Sn 2.80-3.01
7 Se 0.0621 0.3257 0.5490 x4  3 Sn 2.74-2.99
8 Se 0.1599 0.2031 0.1837 x4  3 Sn 2.70-3.02
9 Se 0.2590 0.4681 0.4693 x4  1 P 2.33
10 Se 0.3495 0.2358 0.7616 x4  1 P 2.29
11 Se 0.3497 0.0226 0.0258 x4  1 P 2.30

Output
N(E_F), states/eV/f.u.: 3.34
Formation energy without anion corrections, eV per atom: -0.254

---

# 3
First-principles (GGA-PBE) data for an optimized crystal structure of Au5Se, as listed in Alexandria.

Unit cell a=7.8256 b=7.8256 c=7.8256 alpha=90.00 beta=90.00 gamma=90.00
Last column: nearest neighbours and their distance in Å.
Space group F-43m (No. 216)
Asymmetric unit:
1 Au 0.0000 0.0000 0.0000 x4  12 Au 3.24, 4 Se 3.39
2 Au 0.1253 0.1253 0.6253 x16  6 Au 2.76-2.77
3 Se 0.2500 0.2500 0.2500 x4  16 Au 3.24-3.39

Output
N(E_F), states/eV/f.u.: 3.96
Formation energy without anion corrections, eV per atom: 0.304

---

# 4
First-principles (GGA-PBE) data for an optimized crystal structure of Ce2DyTh3P6, as listed in Alexandria.

Unit cell a=7.1145 b=12.3225 c=7.0980 alpha=90.00 beta=109.52 gamma=90.00
Last column: nearest neighbours and their distance in Å.
Space group C2/m (No. 12)
Asymmetric unit:
1 Ce 0.0000 0.1663 0.0000 x4  6 P 2.89
2 Dy 0.0000 0.5000 0.0000 x2  6 P 2.87
3 Th 0.0000 0.0000 0.5000 x2  6 P 2.92-2.93
4 Th 0.0000 0.3331 0.5000 x4  6 P 2.91-2.93
5 P 0.2472 0.3342 0.2445 x8  1 Dy 2.87, 2 Ce 2.89, 3 Th 2.92-2.93
6 P 0.2495 0.5000 0.7544 x4  1 Dy 2.87, 2 Ce 2.89, 3 Th 2.91-2.93

Output
DFT formation energy, kcal/mol of atoms: -35.85
N(E_F), states/eV/f.u.: 11.35

---

# 5
First-principles (GGA-PBE) data for an optimized crystal structure of NpPdPt2, as listed in Alexandria.

Unit cell a=6.6381 b=6.6381 c=6.6381 alpha=90.00 beta=90.00 gamma=90.00
Last column: nearest neighbours and their distance in Å.
Space group Fm-3m (No. 225)
Asymmetric unit:
1 Np 0.0000 0.0000 0.0000 x4  8 Pt 2.87
2 Pd 0.0000 0.0000 0.5000 x4  8 Pt 2.87
3 Pt 0.2500 0.2500 0.2500 x8  4 Np 2.87, 4 Pd 2.87

Output
DFT formation energy, kcal/mol of atoms: -9.65
N(E_F), states/eV/f.u.: 8.27

---

# 6
First-principles (GGA-PBE) data for an optimized crystal structure of SrTlRh, as listed in Alexandria.

Unit cell a=5.5498 b=8.4600 c=7.0303 alpha=90.00 beta=90.00 gamma=90.00
Last column: nearest neighbours and their distance in Å.
Space group Imma (No. 74)
Asymmetric unit:
1 Sr 0.0000 0.0000 0.0000 x4  4 Rh 3.08
2 Tl 0.0000 0.2500 0.4125 x4  2 Rh 2.75
3 Rh 0.2500 0.2500 0.7500 x4  2 Tl 2.75, 2 Rh 2.77

Output
DFT formation energy, kcal/mol of atoms: -4.68
N(E_F), states/eV/f.u.: 2.63

---

# 7
First-principles (GGA-PBE) data for an optimized crystal structure of Ho5TmGe4, as listed in Alexandria.

Unit cell a=15.1545 b=4.8956 c=6.8647 alpha=90.00 beta=90.21 gamma=90.00
Last column: nearest neighbours and their distance in Å.
Space group C2/m (No. 12)
Asymmetric unit:
1 Ho 0.0000 0.0000 0.0000 x2  6 Ge 3.00-3.21
2 Ho 0.1649 0.5000 0.5060 x4  5 Ge 2.92-3.14
3 Ho 0.1647 0.5000 0.9941 x4  5 Ge 2.94-3.14
4 Tm 0.0000 0.0000 0.5000 x2  6 Ge 2.99-3.20
5 Ge 0.0103 0.5000 0.2517 x4  6 Ho 2.92-3.14, 2 Tm 2.99
6 Ge 0.1785 0.0000 0.7495 x4  7 Ho 2.95-3.21, 1 Tm 3.20

Output
DFT formation energy, kcal/mol of atoms: -14.46
N(E_F), states/eV/f.u.: 5.11

---

# 8
First-principles (GGA-PBE) data for an optimized crystal structure of CoPt2PbC, as listed in Alexandria.

Unit cell a=3.9524 b=3.9524 c=5.3715 alpha=90.00 beta=90.00 gamma=90.00
Last column: nearest neighbours and their distance in Å.
Space group P4/mmm (No. 123)
Asymmetric unit:
1 Co 0.0000 0.0000 0.0000 x1  4 Pb 2.79
2 Pt 0.0000 0.5000 0.5000 x2  2 C 1.98
3 Pb 0.5000 0.5000 0.0000 x1  2 C 2.69, 4 Co 2.79
4 C 0.5000 0.5000 0.5000 x1  4 Pt 1.98

Output
DFT formation energy, kcal/mol of atoms: 18.11
N(E_F), states/eV/f.u.: 4.95

---

# 9
First-principles (GGA-PBE) data for an optimized crystal structure of Sr4Ta2O9, as listed in Alexandria.

Unit cell a=10.2259 b=5.8218 c=17.9571 alpha=90.00 beta=124.01 gamma=90.00
Last column: nearest neighbours and their distance in Å.
Space group P2_1/c (No. 14)
Asymmetric unit:
1 Sr 0.0000 0.0000 0.0000 x2  6 O 2.41-2.45
2 Sr 0.0480 0.0166 0.3945 x4  5 O 2.49-2.75
3 Sr 0.2757 0.0009 0.2660 x4  6 O 2.50-2.77
4 Sr 0.3912 0.0124 0.0811 x4  4 O 2.45-2.73
5 Sr 0.5000 0.0000 0.5000 x2  6 O 2.43-2.44
6 Ta 0.1717 0.5075 0.3342 x4  4 O 1.92-2.12
7 Ta 0.3343 0.5095 0.1666 x4  5 O 1.94-2.12
8 O 0.0356 0.7125 0.7514 x4  2 Ta 2.12-2.20
9 O 0.1150 0.5975 0.4163 x4  1 Ta 1.93
10 O 0.1791 0.1701 0.5636 x4  1 Ta 1.94
11 O 0.2032 0.7163 0.6276 x4  1 Ta 1.95
12 O 0.2338 0.0679 0.7396 x4  2 Ta 2.12-2.16
13 O 0.2650 0.2247 0.3988 x4  1 Ta 1.93
14 O 0.3641 0.6814 0.3957 x4  1 Ta 1.92
15 O 0.4385 0.5992 0.1083 x4  1 Ta 1.94
16 O 0.4818 0.2266 0.2245 x4  2 Ta 2.08-2.20

Output
N(E_F), states/eV/f.u.: 0.00
Formation energy without anion corrections, eV per atom: -3.006

---

# 10
First-principles (GGA-PBE) data for an optimized crystal structure of La2PI, as listed in Alexandria.

Unit cell a=7.5893 b=7.5893 c=7.5893 alpha=90.00 beta=90.00 gamma=90.00
Last column: nearest neighbours and their distance in Å.
Space group Fm-3m (No. 225)
Asymmetric unit:
1 La 0.2500 0.2500 0.2500 x8  4 I 3.29, 4 P 3.29
2 P 0.0000 0.0000 0.0000 x4  8 La 3.29
3 I 0.0000 0.0000 0.5000 x4  8 La 3.29

Output
N(E_F), states/eV/f.u.: 3.16
Formation energy without anion corrections, eV per atom: -1.084

---

# 11
First-principles (GGA-PBE) data for an optimized crystal structure of Nd3DyTe6, as listed in Alexandria.

Unit cell a=7.4544 b=8.3053 c=13.4471 alpha=90.00 beta=122.59 gamma=90.00
Last column: nearest neighbours and their distance in Å.
Space group P2_1/c (No. 14)
Asymmetric unit:
1 Nd 0.0000 0.0000 0.0000 x2  6 Te 3.10-3.15
2 Nd 0.3061 0.1197 0.7538 x4  6 Te 3.17-3.36
3 Dy 0.5000 0.0000 0.5000 x2  6 Te 3.01-3.08
4 Te 0.0908 0.0527 0.2555 x4  1 Dy 3.08, 3 Nd 3.15-3.23
5 Te 0.2453 0.6730 0.0808 x4  1 Dy 3.01, 3 Nd 3.12-3.33
6 Te 0.4214 0.1788 0.0784 x4  1 Dy 3.04, 3 Nd 3.10-3.36

Output
Formation energy without anion corrections, eV per atom: -1.390

---

# 12
First-principles (GGA-PBE) data for an optimized crystal structure of SnGe2HS, as listed in Alexandria.

Unit cell a=5.4255 b=5.4255 c=5.1175 alpha=90.00 beta=90.00 gamma=90.00
Last column: nearest neighbours and their distance in Å.
Space group P4/mmm (No. 123)
Asymmetric unit:
1 Sn 0.0000 0.0000 0.0000 x1  2 S 2.56, 4 Ge 2.71
2 Ge 0.0000 0.5000 0.0000 x2  2 Sn 2.71
3 H 0.5000 0.5000 0.5000 x1  8 Ge 3.73, 4 S 3.84
4 S 0.0000 0.0000 0.5000 x1  2 Sn 2.56

Output
Total DFT energy (no corrections), eV/atom: -2.968
N(E_F), states/eV/f.u.: 1.83

---

# 13
First-principles (GGA-PBE) data for an optimized crystal structure of CaReRh2, as listed in Alexandria.

Unit cell a=4.8043 b=4.8043 c=2.8305 alpha=90.00 beta=90.00 gamma=90.00
Last column: nearest neighbours and their distance in Å.
Space group P4/mmm (No. 123)
Asymmetric unit:
1 Ca 0.0000 0.0000 0.0000 x1  8 Rh 2.79, 2 Ca 2.83
2 Re 0.5000 0.5000 0.0000 x1  8 Rh 2.79, 2 Re 2.83
3 Rh 0.0000 0.5000 0.5000 x2  4 Re 2.79, 4 Ca 2.79, 2 Rh 2.83

Output
DFT formation energy, kcal/mol of atoms: 2.15
N(E_F), states/eV/f.u.: 3.82

---

# 14
First-principles (GGA-PBE) data for an optimized crystal structure of Ho6Er3Mg, as listed in Alexandria.

Unit cell a=9.2446 b=14.8537 c=8.9028 alpha=90.00 beta=90.00 gamma=90.00
Last column: nearest neighbours and their distance in Å.
Space group Cmc2_1 (No. 36)
Asymmetric unit:
1 Ho 0.0000 0.0616 0.0000 x4  7 Ho 3.25-3.59, 1 Mg 3.27
2 Ho 0.0000 0.2913 0.1268 x4  1 Mg 3.29, 3 Ho 3.35-3.59, 3 Er 3.37-3.43
3 Ho 0.1751 0.3472 0.5140 x8  3 Ho 3.24-3.34, 1 Mg 3.27, 3 Er 3.28-3.53
4 Ho 0.2252 0.0660 0.6832 x8  3 Er 3.22-3.47, 4 Ho 3.25-3.51, 1 Mg 3.33
5 Er 0.0000 0.4612 0.8659 x4  2 Er 3.37, 5 Ho 3.39-3.53, 1 Mg 3.50
6 Er 0.1764 0.1435 0.3487 x8  5 Ho 3.22-3.47, 2 Er 3.26-3.37, 1 Mg 3.58
7 Mg 0.0000 0.2329 0.7700 x4  6 Ho 3.27-3.33, 3 Er 3.50-3.58

Output
DFT formation energy, kcal/mol of atoms: 3.10
N(E_F), states/eV/f.u.: 12.60